(1)
Below is a relaxed structure of RbMgCoPd2, with properties calculated at the PBE-GGA level.

Cell lengths 4.843, 4.843, 4.924 Å; angles 90.00, 90.00, 90.00 degrees
Space group P4/mmm (No. 123)
Unique sites:
Rb (0.000, 0.000, 0.000) x1
Mg (0.500, 0.500, 0.000) x1
Co (0.500, 0.500, 0.500) x1
Pd (0.000, 0.500, 0.500) x2



(2)
Below is a relaxed structure of Mn2CoAg, with properties calculated at the PBE-GGA level.

Cell lengths 4.231, 4.231, 3.207 Å; angles 90.00, 90.00, 90.00 degrees
Space group P4/mmm (No. 123)
Unique sites:
Mn (0.000, 0.500, 0.000) x2
Co (0.000, 0.000, 0.500) x1
Ag (0.500, 0.500, 0.500) x1

ΔE to the lowest computed polymorph = 133 meV per atom



(3)
Below is a relaxed structure of LiZrMo2, with properties calculated at the PBE-GGA level.

Cell lengths 2.712, 4.473, 5.743 Å; angles 90.00, 99.66, 90.00 degrees
Space group Pm (No. 6)
Unique sites:
Li (0.000, 0.000, 0.000) x1
Zr (0.290, 0.500, 0.734) x1
Mo (0.583, 0.000, 0.455) x1
Mo (0.784, 0.500, 0.253) x1

ΔE to the lowest computed polymorph = 51 meV per atom



(4)
Below is a relaxed structure of TaVMo2Br, with properties calculated at the PBE-GGA level.

Cell lengths 4.604, 4.604, 4.341 Å; angles 90.00, 90.00, 90.00 degrees
Space group P4/mmm (No. 123)
Unique sites:
Ta (0.000, 0.000, 0.000) x1
V (0.500, 0.500, 0.000) x1
Mo (0.000, 0.500, 0.500) x2
Br (0.500, 0.500, 0.500) x1

Formation energy without anion corrections = 6.9 eV/f.u.



(5)
Below is a relaxed structure of TaReHg, with properties calculated at the PBE-GGA level.

Cell lengths 6.328, 6.328, 6.328 Å; angles 90.00, 90.00, 90.00 degrees
Space group F-43m (No. 216)
Unique sites:
Ta (0.000, 0.000, 0.000) x4
Re (0.250, 0.250, 0.250) x4
Hg (0.000, 0.000, 0.500) x4

ΔE to the lowest computed polymorph = 579 meV per atom



(6)
Below is a relaxed structure of Hf3MnTl, with properties calculated at the PBE-GGA level.

Cell lengths 7.427, 3.338, 8.439 Å; angles 90.00, 101.39, 90.00 degrees
Space group P2_1/m (No. 11)
Unique sites:
Hf (0.113, 0.250, 0.148) x2
Hf (0.175, 0.750, 0.507) x2
Hf (0.318, 0.750, 0.916) x2
Mn (0.111, 0.250, 0.736) x2
Tl (0.473, 0.750, 0.300) x2

ΔE to the lowest computed polymorph = 0 meV per atom



(7)
Below is a relaxed structure of La2Ce3In4, with properties calculated at the PBE-GGA level.

Cell lengths 10.262, 5.168, 10.254 Å; angles 90.00, 101.53, 90.00 degrees
Space group C2/m (No. 12)
Unique sites:
La (0.171, 0.000, 0.225) x4
Ce (0.000, 0.500, 0.000) x2
Ce (0.131, 0.000, 0.564) x4
In (0.031, 0.500, 0.355) x4
In (0.169, 0.000, 0.899) x4



(8)
Below is a relaxed structure of Pm8Co3RhCl4, with properties calculated at the PBE-GGA level.

Cell lengths 13.713, 7.918, 8.802 Å; angles 90.00, 121.29, 90.00 degrees
Space group C2/m (No. 12)
Unique sites:
Pm (0.017, 0.244, 0.297) x8
Pm (0.233, 0.000, 0.699) x4
Pm (0.239, 0.500, 0.702) x4
Co (0.000, 0.000, 0.500) x2
Co (0.250, 0.250, 0.500) x4
Rh (0.000, 0.500, 0.500) x2
Cl (0.000, 0.000, 0.000) x2
Cl (0.000, 0.500, 0.000) x2
Cl (0.250, 0.250, 0.000) x4

Formation energy without anion corrections = -14.9 eV/f.u.



Values of energy, in order: -17.99; -27.10; -31.16; -37.42; -88.00; -82.99; -83.34; -177.99, all in eV/cell.